1.
An optimized crystal structure of Zr2ScBi, computed with PBE.

## Properties
magnetic moment	0.000	μB/atom
formation energy from the elements	-0.3822	eV/atom
VASP energy	-28.8	eV per formula unit

Cell: 4.316 4.332 10.718 Å, 90.00 101.58 90.00°
Atoms (fractional coordinates):
1 Zr 0.055 0.250 0.110
2 Zr 0.445 0.250 0.889
3 Zr 0.555 0.750 0.111
4 Zr 0.945 0.750 0.890
5 Sc 0.312 0.750 0.622
6 Sc 0.688 0.250 0.378
7 Bi 0.168 0.750 0.338
8 Bi 0.832 0.250 0.662


2.
An optimized crystal structure of ZrSc2Bi2, computed with PBE.

## Properties
E above lowest polymorph	0.711	eV/atom
magnetic moment	0.401	μB/atom
formation energy from the elements	0.2717	eV/atom
VASP energy	-27.6	eV per formula unit

Cell: 8.135 8.135 8.135 Å, 148.76 148.76 44.77°
Atoms (fractional coordinates):
1 Zr 0.000 0.000 0.000
2 Sc 0.403 0.403 0.000
3 Sc 0.597 0.597 0.000
4 Bi 0.250 0.750 0.500
5 Bi 0.750 0.250 0.500


3.
An optimized crystal structure of Zr12ScBi6, computed with PBE.

## Properties
magnetic moment	0.000	μB/atom
formation energy from the elements	-0.1688	eV/atom
VASP energy	-135.4	eV per formula unit

Cell: 8.558 8.558 8.558 Å, 110.57 110.57 110.57°
Atoms (fractional coordinates):
1 Zr 0.039 0.181 0.298
2 Zr 0.181 0.298 0.039
3 Zr 0.239 0.673 0.602
4 Zr 0.298 0.039 0.181
5 Zr 0.327 0.398 0.761
6 Zr 0.398 0.761 0.327
7 Zr 0.602 0.239 0.673
8 Zr 0.673 0.602 0.239
9 Zr 0.702 0.961 0.819
10 Zr 0.761 0.327 0.398
11 Zr 0.819 0.702 0.961
12 Zr 0.961 0.819 0.702
13 Sc 0.500 0.500 0.500
14 Bi 0.085 0.578 0.863
15 Bi 0.137 0.915 0.422
16 Bi 0.422 0.137 0.915
17 Bi 0.578 0.863 0.085
18 Bi 0.863 0.085 0.578
19 Bi 0.915 0.422 0.137


4.
An optimized crystal structure of ZrScBi2, computed with PBE.

## Properties
E above lowest polymorph	0.003	eV/atom
magnetic moment	0.075	μB/atom
formation energy from the elements	-0.4224	eV/atom
VASP energy	-24.3	eV per formula unit

Cell: 7.670 7.670 7.670 Å, 31.50 31.50 31.50°
Atoms (fractional coordinates):
1 Zr 0.000 0.000 0.000
2 Sc 0.170 0.170 0.170
3 Bi 0.582 0.582 0.582
4 Bi 0.752 0.752 0.752


5.
An optimized crystal structure of Zr6ScBi3, computed with PBE.

## Properties
magnetic moment	0.000	μB/atom
formation energy from the elements	-0.1602	eV/atom
VASP energy	-70.9	eV per formula unit

Cell: 8.061 8.061 7.741 Å, 90.00 90.00 93.39°
Atoms (fractional coordinates):
1 Zr 0.050 0.416 0.696
2 Zr 0.089 0.911 0.500
3 Zr 0.217 0.783 0.989
4 Zr 0.284 0.426 0.023
5 Zr 0.416 0.050 0.196
6 Zr 0.426 0.284 0.523
7 Zr 0.574 0.716 0.023
8 Zr 0.584 0.950 0.696
9 Zr 0.716 0.574 0.523
10 Zr 0.783 0.217 0.489
11 Zr 0.911 0.089 0.000
12 Zr 0.950 0.584 0.196
13 Sc 0.336 0.664 0.334
14 Sc 0.664 0.336 0.834
15 Bi 0.111 0.257 0.317
16 Bi 0.257 0.111 0.817
17 Bi 0.384 0.616 0.698
18 Bi 0.616 0.384 0.198
19 Bi 0.743 0.889 0.317
20 Bi 0.889 0.743 0.817


6.
An optimized crystal structure of ZrSc2Bi2, computed with PBE.

## Properties
E above lowest polymorph	0.270	eV/atom
magnetic moment	0.090	μB/atom
formation energy from the elements	-0.1692	eV/atom
VASP energy	-29.8	eV per formula unit

Cell: 8.167 8.167 3.781 Å, 90.00 90.00 90.00°
Atoms (fractional coordinates):
1 Zr 0.000 0.000 0.000
2 Zr 0.500 0.500 0.000
3 Sc 0.130 0.370 0.000
4 Sc 0.370 0.870 0.000
5 Sc 0.630 0.130 0.000
6 Sc 0.870 0.630 0.000
7 Bi 0.173 0.673 0.500
8 Bi 0.327 0.173 0.500
9 Bi 0.673 0.827 0.500
10 Bi 0.827 0.327 0.500


7.
An optimized crystal structure of Zr8ScBi6, computed with PBE.

## Properties
magnetic moment	0.000	μB/atom
formation energy from the elements	-0.1124	eV/atom
VASP energy	-99.7	eV per formula unit

Cell: 8.800 8.800 8.800 Å, 53.34 53.34 53.34°
Atoms (fractional coordinates):
1 Zr 0.051 0.281 0.546
2 Zr 0.172 0.172 0.172
3 Zr 0.281 0.546 0.051
4 Zr 0.454 0.949 0.719
5 Zr 0.546 0.051 0.281
6 Zr 0.719 0.454 0.949
7 Zr 0.828 0.828 0.828
8 Zr 0.949 0.719 0.454
9 Sc 0.500 0.500 0.500
10 Bi 0.154 0.370 0.757
11 Bi 0.243 0.846 0.630
12 Bi 0.370 0.757 0.154
13 Bi 0.630 0.243 0.846
14 Bi 0.757 0.154 0.370
15 Bi 0.846 0.630 0.243


8.
An optimized crystal structure of Zr5Sc5Bi6, computed with PBE.

## Properties
magnetic moment	0.000	μB/atom
formation energy from the elements	-0.4842	eV/atom
VASP energy	-105.4	eV per formula unit

Cell: 5.945 8.720 8.720 Å, 119.90 90.00 90.00°
Atoms (fractional coordinates):
1 Zr 0.000 0.000 0.000
2 Zr 0.250 0.071 0.403
3 Zr 0.250 0.403 0.071
4 Zr 0.750 0.071 0.403
5 Zr 0.750 0.403 0.071
6 Sc 0.000 0.485 0.741
7 Sc 0.000 0.741 0.485
8 Sc 0.500 0.482 0.482
9 Sc 0.500 0.739 0.992
10 Sc 0.500 0.992 0.739
11 Bi 0.000 0.122 0.737
12 Bi 0.000 0.360 0.360
13 Bi 0.000 0.737 0.122
14 Bi 0.500 0.122 0.122
15 Bi 0.500 0.356 0.738
16 Bi 0.500 0.738 0.356


9.
An optimized crystal structure of ZrScBi2, computed with PBE.

## Properties
E above lowest polymorph	0.135	eV/atom
magnetic moment	0.287	μB/atom
formation energy from the elements	-0.2909	eV/atom
VASP energy	-23.8	eV per formula unit

Cell: 5.228 5.228 5.228 Å, 60.00 60.00 60.00°
Atoms (fractional coordinates):
1 Zr 0.000 0.000 0.000
2 Sc 0.500 0.500 0.500
3 Bi 0.250 0.250 0.250
4 Bi 0.750 0.750 0.750


10.
An optimized crystal structure of Zr2ScBi, computed with PBE.

## Properties
magnetic moment	0.000	μB/atom
formation energy from the elements	-0.0207	eV/atom
VASP energy	-27.4	eV per formula unit

Cell: 10.255 10.255 10.255 Å, 18.90 18.90 18.90°
Atoms (fractional coordinates):
1 Zr 0.000 0.000 0.000
2 Zr 0.165 0.165 0.165
3 Sc 0.416 0.416 0.416
4 Bi 0.582 0.582 0.582


11.
An optimized crystal structure of BiSe2, computed with PBE.

## Properties
magnetic moment	0.000	μB/atom
ΔE_f (raw)	-0.20	eV per atom
VASP energy	-11.4	eV per formula unit

Cell: 4.208 4.208 5.752 Å, 98.97 98.97 60.78°
Atoms (fractional coordinates):
1 Bi 0.000 0.000 0.000
2 Se 0.372 0.372 0.301
3 Se 0.628 0.628 0.699


12.
An optimized crystal structure of BiSe4, computed with PBE.

## Properties
magnetic moment	0.671	μB/atom
ΔE_f (raw)	0.81	eV per atom
VASP energy	-13.7	eV per formula unit

Cell: 5.545 5.545 5.545 Å, 90.00 90.00 90.00°
Atoms (fractional coordinates):
1 Bi 0.000 0.000 0.000
2 Se 0.000 0.000 0.500
3 Se 0.000 0.500 0.000
4 Se 0.500 0.000 0.000
5 Se 0.500 0.500 0.500